{"formula": "ZrMnP3", "functional": "meta-GGA SCAN", "state": "PBEsol geometry", "magnetic_moment_mub_per_cell": 4.57, "space_group": "Pm-3m", "formation_enthalpy_0k_ev_per_atom": 0.426, "vol_a3_per_atom": 23.732, "lattice": [[-1.582, -3.610, 2.934], [3.713, 0.888, 3.094], [-2.803, 3.213, 2.442]], "species": ["P", "P", "P", "Mn", "Zr"], "fractional_positions": [[0.000, 0.500, 0.000], [0.000, 0.000, 0.500], [0.500, 0.000, 0.000], [0.500, 0.500, 0.500], [0.000, 0.000, 0.000]]}